[1]
# KLiAlF2

KLiAlF2 after structural relaxation (PBE, Alexandria via LeMat-Bulk).

The density of states at the Fermi level comes out at 1.74 states/eV/f.u. The space group is No. 123. The calculation puts the energy relative to the elements, uncorrected at -1.13 eV per atom. The calculation puts the electronic total energy at -3.228 eV/atom. The density is 1.96 g cm⁻³.

The structure in CIF format:
```
data_KLiAlF2
_chemical_formula_sum 'K1 Li1 Al1 F2'
_cell_length_a 4.303
_cell_length_b 4.303
_cell_length_c 5.078
_cell_angle_alpha 90.00
_cell_angle_beta 90.00
_cell_angle_gamma 90.00
_space_group_name_H-M_alt 'P 1'
_space_group_IT_number 1
_space_group_name_Hall 'P 1'
loop_
_atom_site_label
_atom_site_type_symbol
_atom_site_fract_x
_atom_site_fract_y
_atom_site_fract_z
K1 K 0.000 0.000 0.000
Li1 Li 0.000 0.000 0.500
Al1 Al 0.500 0.500 0.000
F1 F 0.000 0.500 0.500
F2 F 0.500 0.000 0.500
```

***

[2]
# TiTlCdTe2

TiTlCdTe2 after structural relaxation (PBE, Alexandria via LeMat-Bulk).

The density of states at the Fermi level comes out at 2.53 states/eV/f.u. The space group is No. 123. The calculation puts the energy relative to the elements, uncorrected at -0.16 eV per atom. The calculation puts the electronic total energy at -3.656 eV/atom. The density is 6.46 g cm⁻³.

The structure in CIF format:
```
data_TiTlCdTe2
_chemical_formula_sum 'Ti1 Tl1 Cd1 Te2'
_cell_length_a 5.400
_cell_length_b 5.400
_cell_length_c 5.464
_cell_angle_alpha 90.00
_cell_angle_beta 90.00
_cell_angle_gamma 90.00
_space_group_name_H-M_alt 'P 1'
_space_group_IT_number 1
_space_group_name_Hall 'P 1'
loop_
_atom_site_label
_atom_site_type_symbol
_atom_site_fract_x
_atom_site_fract_y
_atom_site_fract_z
Ti1 Ti 0.000 0.000 0.000
Tl1 Tl 0.500 0.500 0.500
Cd1 Cd 0.000 0.000 0.500
Te1 Te 0.000 0.500 0.000
Te2 Te 0.500 0.000 0.000
```

***

[3]
# Mn3InMo

Mn3InMo after structural relaxation (PBE, Alexandria via LeMat-Bulk).

The density of states at the Fermi level comes out at 6.94 states/eV/f.u. The space group is No. 221. Its energy above the most stable polymorph in this dataset is 0 meV/atom. The calculation puts the electronic total energy at -7.059 eV/atom. The density is 6.37 g cm⁻³.

The structure in CIF format:
```
data_Mn3InMo
_chemical_formula_sum 'Mn3 In1 Mo1'
_cell_length_a 4.608
_cell_length_b 4.608
_cell_length_c 4.608
_cell_angle_alpha 90.00
_cell_angle_beta 90.00
_cell_angle_gamma 90.00
_space_group_name_H-M_alt 'P 1'
_space_group_IT_number 1
_space_group_name_Hall 'P 1'
loop_
_atom_site_label
_atom_site_type_symbol
_atom_site_fract_x
_atom_site_fract_y
_atom_site_fract_z
Mn1 Mn 0.000 0.000 0.500
Mn2 Mn 0.000 0.500 0.000
Mn3 Mn 0.500 0.000 0.000
In1 In 0.500 0.500 0.500
Mo1 Mo 0.000 0.000 0.000
```

***

[4]
# CaPd4Pt

CaPd4Pt after structural relaxation (PBE, Alexandria via LeMat-Bulk).

The density of states at the Fermi level comes out at 6.30 states/eV/f.u. The space group is No. 216. Its energy above the most stable polymorph in this dataset is 0 meV/atom. The calculation puts the electronic total energy at -5.070 eV/atom. The density is 10.41 g cm⁻³.

The structure in CIF format:
```
data_CaPd4Pt
_chemical_formula_sum 'Ca1 Pd4 Pt1'
_cell_length_a 5.303
_cell_length_b 5.303
_cell_length_c 5.303
_cell_angle_alpha 60.00
_cell_angle_beta 60.00
_cell_angle_gamma 60.00
_space_group_name_H-M_alt 'P 1'
_space_group_IT_number 1
_space_group_name_Hall 'P 1'
loop_
_atom_site_label
_atom_site_type_symbol
_atom_site_fract_x
_atom_site_fract_y
_atom_site_fract_z
Ca1 Ca 0.000 0.000 0.000
Pd1 Pd 0.127 0.624 0.624
Pd2 Pd 0.624 0.127 0.624
Pd3 Pd 0.624 0.624 0.127
Pd4 Pd 0.624 0.624 0.624
Pt1 Pt 0.250 0.250 0.250
```

***

[5]
# LaHfAg

LaHfAg after structural relaxation (PBE, Alexandria via LeMat-Bulk).

The density of states at the Fermi level comes out at 3.22 states/eV/f.u. The space group is No. 59. Its energy above the most stable polymorph in this dataset is 45 meV/atom. The calculation puts the electronic total energy at -5.900 eV/atom. The density is 9.07 g cm⁻³.

The structure in CIF format:
```
data_LaHfAg
_chemical_formula_sum 'La2 Hf2 Ag2'
_cell_length_a 3.499
_cell_length_b 4.156
_cell_length_c 10.702
_cell_angle_alpha 90.00
_cell_angle_beta 90.00
_cell_angle_gamma 90.00
_space_group_name_H-M_alt 'P 1'
_space_group_IT_number 1
_space_group_name_Hall 'P 1'
loop_
_atom_site_label
_atom_site_type_symbol
_atom_site_fract_x
_atom_site_fract_y
_atom_site_fract_z
La1 La 0.250 0.250 0.238
La2 La 0.750 0.750 0.762
Hf1 Hf 0.250 0.250 0.561
Hf2 Hf 0.750 0.750 0.439
Ag1 Ag 0.250 0.250 0.935
Ag2 Ag 0.750 0.750 0.065
```

***

[6]
# Ta2Zn2I

Ta2Zn2I after structural relaxation (PBE, Alexandria via LeMat-Bulk).

The density of states at the Fermi level comes out at 3.85 states/eV/f.u. The space group is No. 127. Its energy above the most stable polymorph in this dataset is 79 meV/atom. The calculation puts the energy relative to the elements, uncorrected at 0.74 eV per atom. The calculation puts the electronic total energy at -4.818 eV/atom. The density is 10.30 g cm⁻³.

The structure in CIF format:
```
data_Ta2Zn2I
_chemical_formula_sum 'Ta4 Zn4 I2'
_cell_length_a 7.856
_cell_length_b 7.856
_cell_length_c 3.238
_cell_angle_alpha 90.00
_cell_angle_beta 90.00
_cell_angle_gamma 90.00
_space_group_name_H-M_alt 'P 1'
_space_group_IT_number 1
_space_group_name_Hall 'P 1'
loop_
_atom_site_label
_atom_site_type_symbol
_atom_site_fract_x
_atom_site_fract_y
_atom_site_fract_z
Ta1 Ta 0.118 0.382 0.000
Ta2 Ta 0.382 0.882 0.000
Ta3 Ta 0.618 0.118 0.000
Ta4 Ta 0.882 0.618 0.000
Zn1 Zn 0.170 0.670 0.500
Zn2 Zn 0.330 0.170 0.500
Zn3 Zn 0.670 0.830 0.500
Zn4 Zn 0.830 0.330 0.500
I1 I 0.000 0.000 0.500
I2 I 0.500 0.500 0.500
```

***

[7]
# CsRb2LiTl

CsRb2LiTl after structural relaxation (PBE, Alexandria via LeMat-Bulk).

The density of states at the Fermi level comes out at 3.73 states/eV/f.u. The space group is No. 123. Its energy above the most stable polymorph in this dataset is 0 meV/atom. The calculation puts the electronic total energy at -1.352 eV/atom. The density is 2.77 g cm⁻³.

The structure in CIF format:
```
data_CsRb2LiTl
_chemical_formula_sum 'Cs1 Rb2 Li1 Tl1'
_cell_length_a 7.280
_cell_length_b 7.280
_cell_length_c 5.826
_cell_angle_alpha 90.00
_cell_angle_beta 90.00
_cell_angle_gamma 90.00
_space_group_name_H-M_alt 'P 1'
_space_group_IT_number 1
_space_group_name_Hall 'P 1'
loop_
_atom_site_label
_atom_site_type_symbol
_atom_site_fract_x
_atom_site_fract_y
_atom_site_fract_z
Cs1 Cs 0.000 0.000 0.000
Rb1 Rb 0.000 0.500 0.500
Rb2 Rb 0.500 0.000 0.500
Li1 Li 0.500 0.500 0.000
Tl1 Tl 0.500 0.500 0.500
```

***

[8]
# Th3Ni2Pd

Th3Ni2Pd after structural relaxation (PBE, Alexandria via LeMat-Bulk).

The density of states at the Fermi level comes out at 5.06 states/eV/f.u. The space group is No. 167. The calculation puts the electronic total energy at -6.945 eV/atom. The density is 10.61 g cm⁻³.

The structure in CIF format:
```
data_Th3Ni2Pd
_chemical_formula_sum 'Th6 Ni4 Pd2'
_cell_length_a 7.462
_cell_length_b 7.462
_cell_length_c 7.462
_cell_angle_alpha 59.15
_cell_angle_beta 59.15
_cell_angle_gamma 59.15
_space_group_name_H-M_alt 'P 1'
_space_group_IT_number 1
_space_group_name_Hall 'P 1'
loop_
_atom_site_label
_atom_site_type_symbol
_atom_site_fract_x
_atom_site_fract_y
_atom_site_fract_z
Th1 Th 0.049 0.750 0.451
Th2 Th 0.250 0.549 0.951
Th3 Th 0.451 0.049 0.750
Th4 Th 0.549 0.951 0.250
Th5 Th 0.750 0.451 0.049
Th6 Th 0.951 0.250 0.549
Ni1 Ni 0.148 0.148 0.148
Ni2 Ni 0.352 0.352 0.352
Ni3 Ni 0.648 0.648 0.648
Ni4 Ni 0.852 0.852 0.852
Pd1 Pd 0.000 0.000 0.000
Pd2 Pd 0.500 0.500 0.500
```

***

[9]
# AgMoP2Cl

AgMoP2Cl after structural relaxation (PBE, Alexandria via LeMat-Bulk).

The density of states at the Fermi level comes out at 3.23 states/eV/f.u. The space group is No. 123. Its energy above the most stable polymorph in this dataset is 0 meV/atom. The calculation puts the energy relative to the elements, uncorrected at 0.36 eV per atom. The calculation puts the electronic total energy at -4.914 eV/atom. The density is 4.53 g cm⁻³.

The structure in CIF format:
```
data_AgMoP2Cl
_chemical_formula_sum 'Ag1 Mo1 P2 Cl1'
_cell_length_a 4.653
_cell_length_b 4.653
_cell_length_c 5.099
_cell_angle_alpha 90.00
_cell_angle_beta 90.00
_cell_angle_gamma 90.00
_space_group_name_H-M_alt 'P 1'
_space_group_IT_number 1
_space_group_name_Hall 'P 1'
loop_
_atom_site_label
_atom_site_type_symbol
_atom_site_fract_x
_atom_site_fract_y
_atom_site_fract_z
Ag1 Ag 0.000 0.000 0.000
Mo1 Mo 0.500 0.500 0.500
P1 P 0.000 0.500 0.500
P2 P 0.500 0.000 0.500
Cl1 Cl 0.500 0.500 0.000
```

***

[10]
# SrCa2HAu

SrCa2HAu after structural relaxation (PBE, Alexandria via LeMat-Bulk).

The density of states at the Fermi level comes out at 2.45 states/eV/f.u. The space group is No. 123. Its energy above the most stable polymorph in this dataset is 0 meV/atom. The calculation puts the electronic total energy at -2.827 eV/atom. The density is 4.91 g cm⁻³.

The structure in CIF format:
```
data_SrCa2HAu
_chemical_formula_sum 'Sr1 Ca2 H1 Au1'
_cell_length_a 4.787
_cell_length_b 4.787
_cell_length_c 5.400
_cell_angle_alpha 90.00
_cell_angle_beta 90.00
_cell_angle_gamma 90.00
_space_group_name_H-M_alt 'P 1'
_space_group_IT_number 1
_space_group_name_Hall 'P 1'
loop_
_atom_site_label
_atom_site_type_symbol
_atom_site_fract_x
_atom_site_fract_y
_atom_site_fract_z
Sr1 Sr 0.000 0.000 0.000
Ca1 Ca 0.000 0.500 0.500
Ca2 Ca 0.500 0.000 0.500
H1 H 0.000 0.000 0.500
Au1 Au 0.500 0.500 0.000
```

***

[11]
# HfBe17Cu

HfBe17Cu after structural relaxation (PBE, Alexandria via LeMat-Bulk).

The density of states at the Fermi level comes out at 2.44 states/eV/f.u. The space group is No. 160. The calculation puts the electronic total energy at -4.162 eV/atom. The density is 3.83 g cm⁻³.

The structure in CIF format:
```
data_HfBe17Cu
_chemical_formula_sum 'Hf1 Be17 Cu1'
_cell_length_a 5.596
_cell_length_b 5.596
_cell_length_c 5.596
_cell_angle_alpha 82.59
_cell_angle_beta 82.59
_cell_angle_gamma 82.59
_space_group_name_H-M_alt 'P 1'
_space_group_IT_number 1
_space_group_name_Hall 'P 1'
loop_
_atom_site_label
_atom_site_type_symbol
_atom_site_fract_x
_atom_site_fract_y
_atom_site_fract_z
Hf1 Hf 0.000 0.000 0.000
Be1 Be 0.038 0.346 0.635
Be2 Be 0.038 0.635 0.346
Be3 Be 0.186 0.684 0.684
Be4 Be 0.242 0.242 0.242
Be5 Be 0.327 0.327 0.847
Be6 Be 0.327 0.847 0.327
Be7 Be 0.346 0.038 0.635
Be8 Be 0.346 0.635 0.038
Be9 Be 0.441 0.441 0.441
Be10 Be 0.504 0.996 0.996
Be11 Be 0.635 0.038 0.346
Be12 Be 0.635 0.346 0.038
Be13 Be 0.684 0.186 0.684
Be14 Be 0.684 0.684 0.186
Be15 Be 0.847 0.327 0.327
Be16 Be 0.996 0.504 0.996
Be17 Be 0.996 0.996 0.504
Cu1 Cu 0.710 0.710 0.710
```

***

[12]
# TmNi6

TmNi6 after structural relaxation (PBE, Alexandria via LeMat-Bulk).

The density of states at the Fermi level comes out at 10.29 states/eV/f.u. The space group is No. 62. Its energy above the most stable polymorph in this dataset is 0 meV/atom. The calculation puts the electronic total energy at -5.821 eV/atom. The density is 9.57 g cm⁻³.

The structure in CIF format:
```
data_TmNi6
_chemical_formula_sum 'Tm4 Ni24'
_cell_length_a 7.741
_cell_length_b 4.804
_cell_length_c 9.728
_cell_angle_alpha 90.00
_cell_angle_beta 90.00
_cell_angle_gamma 90.00
_space_group_name_H-M_alt 'P 1'
_space_group_IT_number 1
_space_group_name_Hall 'P 1'
loop_
_atom_site_label
_atom_site_type_symbol
_atom_site_fract_x
_atom_site_fract_y
_atom_site_fract_z
Tm1 Tm 0.242 0.250 0.061
Tm2 Tm 0.258 0.750 0.561
Tm3 Tm 0.742 0.250 0.439
Tm4 Tm 0.758 0.750 0.939
Ni1 Ni 0.060 0.750 0.090
Ni2 Ni 0.067 0.006 0.308
Ni3 Ni 0.067 0.494 0.308
Ni4 Ni 0.103 0.250 0.519
Ni5 Ni 0.147 0.750 0.852
Ni6 Ni 0.182 0.250 0.758
Ni7 Ni 0.318 0.750 0.258
Ni8 Ni 0.353 0.250 0.352
Ni9 Ni 0.397 0.750 0.019
Ni10 Ni 0.433 0.506 0.808
Ni11 Ni 0.433 0.994 0.808
Ni12 Ni 0.440 0.250 0.590
Ni13 Ni 0.560 0.750 0.410
Ni14 Ni 0.567 0.006 0.192
Ni15 Ni 0.567 0.494 0.192
Ni16 Ni 0.603 0.250 0.981
Ni17 Ni 0.647 0.750 0.648
Ni18 Ni 0.682 0.250 0.742
Ni19 Ni 0.818 0.750 0.242
Ni20 Ni 0.853 0.250 0.148
Ni21 Ni 0.897 0.750 0.481
Ni22 Ni 0.933 0.506 0.692
Ni23 Ni 0.933 0.994 0.692
Ni24 Ni 0.940 0.250 0.910
```